The following is a PBE+U calculation of crystalline Co2BiF8 at its relaxed geometry, from the Alexandria database.

The structure in CIF format:
```
data_Co2BiF8
_chemical_formula_sum 'Co4 Bi2 F16'
_symmetry_space_group_name_H-M 'C 1 2/m 1'
_symmetry_Int_Tables_number 12
_cell_length_a 10.015
_cell_length_b 7.322
_cell_length_c 4.293
_cell_angle_alpha 90.00
_cell_angle_beta 91.96
_cell_angle_gamma 90.00
loop_
_symmetry_equiv_pos_as_xyz
'x,y,z'
'-x,-y,-z'
'-x,y,-z'
'x,-y,z'
'x+1/2,y+1/2,z'
'-x+1/2,-y+1/2,-z'
'-x+1/2,y+1/2,-z'
'x+1/2,-y+1/2,z'
loop_
_atom_site_label
_atom_site_type_symbol
_atom_site_fract_x
_atom_site_fract_y
_atom_site_fract_z
Co1 Co 0.115 0.000 0.242
Bi1 Bi 0.000 0.500 0.000
F1 F 0.084 0.000 0.749
F2 F 0.105 0.266 0.258
F3 F 0.197 0.500 0.740
```

DOS(E_F) = 4.45 states/eV/f.u.
Magnetization = 14.00 Bohr magnetons per cell
Total energy = -0.347 Ry per atom